No. 1
This record from the Alexandria database describes an optimized crystal structure of CaCePr. The functional is PBE.

## Properties
Energy of formation   113 meV/atom
Relative energy among the computed polymorphs   0.00 eV/f.u.
M_tot   0.00 μB per formula unit
Fermi-level density of states   2.17 states/eV per atom

The structure in POSCAR format:
```
CaCePr
1.0
3.3181 -1.9092 0.0000
3.3181 1.9092 0.0000
-2.2147 0.0000 17.0739
Ca Ce Pr
2 2 2
Cartesian
-0.0143 0.0000 6.9166
4.4358 0.0000 10.1573
2.2137 0.0000 0.7941
2.2078 0.0000 16.2798
0.0087 0.0000 13.3536
4.4128 0.0000 3.7203
```

No. 2
This record from the Alexandria database describes an optimized crystal structure of CaCePr2. The functional is PBE.

## Properties
Energy of formation   67 meV/atom
Relative energy among the computed polymorphs   0.00 eV/f.u.
M_tot   0.18 μB per formula unit
Fermi-level density of states   1.61 states/eV per atom

The structure in POSCAR format:
```
CaCePr2
1.0
3.6458 0.0000 0.0000
0.0000 3.6458 0.0000
0.0000 0.0000 10.5657
Ca Ce Pr
1 1 2
Cartesian
0.0000 0.0000 0.0000
0.0000 0.0000 5.2829
1.8229 1.8229 2.8950
1.8229 1.8229 7.6707
```

No. 3
This record from the Alexandria database describes an optimized crystal structure of CaCePr2. The functional is PBE.

## Properties
Energy of formation   472 meV/atom
Relative energy among the computed polymorphs   1.62 eV/f.u.
M_tot   0.00 μB per formula unit
Fermi-level density of states   1.90 states/eV per atom

The structure in POSCAR format:
```
CaCePr2
1.0
2.1512 1.2420 8.8272
-2.1512 1.2420 8.8272
0.0000 -2.4840 8.8272
Ca Ce Pr
1 1 2
Cartesian
0.0000 0.0000 0.0000
0.0000 0.0000 4.5082
0.0000 0.0000 14.8554
0.0000 0.0000 20.4712
```